Record 1
Compound: ZnSi2As
Source: Alexandria via LeMat-Bulk
Functional: PBE
Structure: optimized geometry

Results
SG: Pm (6)
Total moment (μB per atom): 0.000
Energy relative to the elements, uncorrected (meV/atom): 264
Distance to the lowest polymorph of the same formula (eV/atom): 0.039

a = 2.547 Å, b = 5.212 Å, c = 5.134 Å
α = 90.00°, β = 90.67°, γ = 90.00°
Element x y z (fractional)
Zn1 0.000 0.000 0.000
Si1 0.529 0.000 0.500
Si2 0.542 0.500 0.500
As1 0.559 0.500 0.000

=====

Record 2
Compound: Zn2SiAs
Source: Alexandria via LeMat-Bulk
Functional: PBE
Structure: optimized geometry

Results
SG: Fm-3m (225)
Total moment (μB per atom): 0.000
Energy relative to the elements, uncorrected (meV/atom): 378

a = 6.485 Å, b = 6.485 Å, c = 6.485 Å
α = 90.00°, β = 90.00°, γ = 90.00°
Element x y z (fractional)
Zn1 0.250 0.250 0.250
Zn2 0.250 0.250 0.750
Zn3 0.250 0.750 0.250
Zn4 0.250 0.750 0.750
Zn5 0.750 0.250 0.250
Zn6 0.750 0.250 0.750
Zn7 0.750 0.750 0.250
Zn8 0.750 0.750 0.750
Si1 0.000 0.000 0.000
Si2 0.000 0.500 0.500
Si3 0.500 0.000 0.500
Si4 0.500 0.500 0.000
As1 0.000 0.000 0.500
As2 0.000 0.500 0.000
As3 0.500 0.000 0.000
As4 0.500 0.500 0.500

=====

Record 3
Compound: ZnSiAs2
Source: Alexandria via LeMat-Bulk
Functional: PBE
Structure: optimized geometry

Results
SG: Imm2 (44)
Total moment (μB per atom): 0.000
Energy relative to the elements, uncorrected (meV/atom): 253
Distance to the lowest polymorph of the same formula (eV/atom): 0.451

a = 3.486 Å, b = 3.698 Å, c = 11.493 Å
α = 90.00°, β = 90.00°, γ = 90.00°
Element x y z (fractional)
Zn1 0.000 0.000 0.000
Zn2 0.500 0.500 0.500
Si1 0.000 0.500 0.246
Si2 0.500 0.000 0.746
As1 0.000 0.000 0.584
As2 0.000 0.500 0.828
As3 0.500 0.000 0.328
As4 0.500 0.500 0.084